PBEsol CaHg2Os, optimized geometry; magnetic moment = 0.6 μB/cell; space-group type = R-3m; ΔH_f (0 K) = 0.55 eV/atom
1.0
-0.5493 1.5559 2.6473
-1.2455 -1.4783 2.4483
8.0750 -2.1669 4.7870
Ca Os Hg
1 1 2
Direct
0.0000 0.0000 0.0000 Ca
0.5000 0.5000 0.5000 Os
0.2453 0.2453 0.2642 Hg
0.7547 0.7547 0.7358 Hg